(1)
## TcPd2Se6 (PBE)

Data for a geometry-optimized TcPd2Se6 structure.

Cell lengths 6.7682, 6.9031, 9.2022 Å; angles 90.00, 77.65, 90.00 degrees
With the nearest neighbours (Å) after each atom.
Atoms (fractional coordinates):
Tc 0.5000 0.5000 0.0000  6 Se 2.44-2.56
Tc 0.0000 0.0000 0.5000  6 Se 2.44-2.56
Pd 0.0264 0.3732 0.8247  4 Se 2.48-2.51
Pd 0.4736 0.8732 0.6753  4 Se 2.48-2.51
Pd 0.5264 0.1268 0.3247  4 Se 2.48-2.51
Pd 0.9736 0.6268 0.1753  4 Se 2.48-2.51
Se 0.8504 0.9477 0.2842  1 Tc 2.44, 2 Pd 2.48-2.50
Se 0.8082 0.7004 0.6154  1 Se 2.48, 1 Pd 2.51, 1 Tc 2.55
Se 0.8274 0.6776 0.8813  1 Se 2.48, 1 Pd 2.49, 1 Tc 2.56
Se 0.6726 0.1776 0.6187  1 Se 2.48, 1 Pd 2.49, 1 Tc 2.56
Se 0.6918 0.2004 0.8846  1 Se 2.48, 1 Pd 2.51, 1 Tc 2.55
Se 0.6496 0.4477 0.2158  1 Tc 2.44, 2 Pd 2.48-2.50
Se 0.1496 0.0523 0.7158  1 Tc 2.44, 2 Pd 2.48-2.50
Se 0.1918 0.2996 0.3846  1 Se 2.48, 1 Pd 2.51, 1 Tc 2.55
Se 0.1726 0.3224 0.1187  1 Se 2.48, 1 Pd 2.49, 1 Tc 2.56
Se 0.3274 0.8224 0.3813  1 Se 2.48, 1 Pd 2.49, 1 Tc 2.56
Se 0.3082 0.7996 0.1154  1 Se 2.48, 1 Pd 2.51, 1 Tc 2.55
Se 0.3504 0.5523 0.7842  1 Tc 2.44, 2 Pd 2.48-2.50

Formation energy (no corrections), eV/atom: -0.148
Volume, Å³/cell: 420

---

(2)
## PmTm2Cd5 (PBE)

Data for a geometry-optimized PmTm2Cd5 structure.

Cell lengths 5.1582, 5.1582, 8.2865 Å; angles 108.13, 108.13, 90.00 degrees
With the nearest neighbours (Å) after each atom.
Atoms (fractional coordinates):
Pm 0.0000 0.0000 0.0000  8 Cd 3.18
Tm 0.7387 0.7387 0.4774  8 Cd 3.08-3.28
Tm 0.2613 0.2613 0.5226  8 Cd 3.08-3.28
Cd 0.5000 0.5000 0.0000  8 Cd 3.18, 2 Tm 3.55
Cd 0.8750 0.3750 0.7500  4 Tm 3.08-3.28, 2 Pm 3.18, 2 Cd 3.18
Cd 0.3750 0.8750 0.7500  4 Tm 3.08-3.28, 2 Cd 3.18, 2 Pm 3.18
Cd 0.1250 0.6250 0.2500  4 Tm 3.08-3.28, 2 Pm 3.18, 2 Cd 3.18
Cd 0.6250 0.1250 0.2500  4 Tm 3.08-3.28, 2 Cd 3.18, 2 Pm 3.18

Formation enthalpy at 0 K, eV per atom: -0.303
Volume, Å³/cell: 198

---

(3)
## AlVAs2Br (PBE)

Data for a geometry-optimized AlVAs2Br structure.

Cell lengths 4.7010, 4.7010, 5.5200 Å; angles 90.00, 90.00, 90.00 degrees
With the nearest neighbours (Å) after each atom.
Atoms (fractional coordinates):
As 0.0000 0.5000 0.0000  2 V 2.35
As 0.5000 0.0000 0.0000  2 V 2.35
Al 0.5000 0.5000 0.5000  4 Br 3.32, 8 As 3.63
Br 0.0000 0.0000 0.5000  2 V 2.76
V 0.0000 0.0000 0.0000  4 As 2.35

Formation energy (no corrections), eV/atom: 0.195
Polymorph energy (0 for the lowest one), eV/atom: 0.0000
Volume, Å³/cell: 122